PBE with a Hubbard U VAsO5, relaxed; crystal system = orthorhombic; SG = Pnma; relative energy among the computed polymorphs = 0.000 eV/atom; E_tot = -6.719 eV per atom
1.0
-5.992 -2.015 -1.215
0.379 -4.689 5.904
-2.882 5.720 4.728
O V As
20 4 4
Cartesian
-6.789 2.963 2.985 O
-2.300 -1.541 5.367 O
-1.236 0.886 3.217 O
-4.758 -1.028 6.707 O
-7.260 -1.869 6.199 O
-1.493 -2.492 2.968 O
-7.002 1.508 6.448 O
-3.322 1.068 6.083 O
-4.817 -1.530 0.712 O
-5.180 2.925 5.047 O
-5.173 -2.051 3.333 O
-5.749 0.969 1.163 O
-3.737 0.044 2.709 O
-6.196 0.557 4.049 O
-5.817 -4.750 3.861 O
-2.747 -1.952 8.253 O
-3.678 0.546 8.704 O
-3.315 -3.909 4.369 O
-1.706 -3.947 6.431 O
-2.678 3.766 5.555 O
-3.145 -0.261 7.411 V
-5.351 -0.723 2.005 V
-6.778 1.965 4.586 V
-1.717 -2.948 4.830 V
-3.883 2.704 6.137 As
-5.949 -2.117 7.267 As
-2.546 1.134 2.150 As
-4.612 -3.688 3.279 As